## LaY2PbO (GGA-PBE)

Data for a relaxed structure of LaY2PbO.

Geometry as POSCAR:
```
LaY2PbO
1.0
4.844 0.000 0.000
0.000 4.844 0.000
0.000 0.000 5.127
La Y Pb O
1 2 1 1
direct
0.000 0.000 0.000
0.000 0.500 0.500
0.500 0.000 0.500
0.500 0.500 0.000
0.000 0.000 0.500
```

- E_form (uncorrected) (meV/atom) = -1369
- space-group type = No. 123

=====

## Tb3Pr3Dy4 (GGA-PBE)

Data for a relaxed structure of Tb3Pr3Dy4.

Geometry as POSCAR:
```
Tb3Pr3Dy4
1.0
3.710 0.000 0.000
0.000 6.717 6.752
0.000 -6.717 6.752
Tb Pr Dy
3 3 4
direct
0.000 0.000 0.000
0.500 0.321 0.828
0.500 0.828 0.321
0.000 0.151 0.499
0.000 0.499 0.151
0.000 0.652 0.652
0.500 0.199 0.199
0.500 0.451 0.451
0.500 0.704 0.953
0.500 0.953 0.704
```

- energy relative to the elements (meV per atom) = 99.8
- space-group type = No. 38

=====

## Sm4Te2PbS (GGA-PBE)

Data for a relaxed structure of Sm4Te2PbS.

Geometry as POSCAR:
```
Sm4Te2PbS
1.0
7.527 0.000 0.000
0.000 4.347 0.000
-2.516 0.000 7.230
Sm Te Pb S
4 2 1 1
direct
0.226 0.000 0.221
0.241 0.500 0.766
0.759 0.500 0.234
0.774 0.000 0.779
0.000 0.000 0.500
0.500 0.500 0.500
0.500 0.000 0.000
0.000 0.500 0.000
```

- E_form (uncorrected) (meV/atom) = -1326
- space-group type = No. 10

=====

## Na2MgH6Rh (GGA-PBE)

Data for a relaxed structure of Na2MgH6Rh.

Geometry as POSCAR:
```
Na2MgH6Rh
1.0
5.200 0.000 0.000
-2.600 4.503 0.000
0.000 0.000 5.056
Na Mg H Rh
2 1 6 1
direct
0.333 0.667 0.156
0.667 0.333 0.844
0.000 0.000 0.500
0.154 0.308 0.798
0.154 0.846 0.798
0.308 0.154 0.202
0.692 0.846 0.798
0.846 0.154 0.202
0.846 0.692 0.202
0.000 0.000 0.000
```

- energy (eV/cell) = -34.35
- space-group type = No. 164

=====

## Ba4Na2Ag (GGA-PBE)

Data for a relaxed structure of Ba4Na2Ag.

Geometry as POSCAR:
```
Ba4Na2Ag
1.0
9.591 -2.536 0.000
9.591 2.536 0.000
-1.906 0.000 7.524
Ba Na Ag
4 2 1
direct
0.066 0.066 0.282
0.356 0.356 0.175
0.644 0.644 0.825
0.934 0.934 0.718
0.271 0.271 0.648
0.729 0.729 0.352
0.500 0.500 0.000
```

- energy relative to the elements (meV per atom) = -40.3
- relative energy among the computed polymorphs (meV per atom) = 0.0
- space-group type = No. 12

=====

## RbTiH2F8 (GGA-PBE)

Data for a relaxed structure of RbTiH2F8.

Geometry as POSCAR:
```
RbTiH2F8
1.0
4.811 0.000 0.000
2.120 4.337 0.000
1.655 0.985 8.191
Rb Ti H F
1 1 2 8
direct
0.000 0.000 0.000
0.000 0.000 0.500
0.462 0.463 0.671
0.538 0.537 0.329
0.219 0.219 0.503
0.233 0.689 0.669
0.315 0.766 0.331
0.373 0.375 0.047
0.627 0.625 0.953
0.685 0.234 0.669
0.767 0.311 0.331
0.781 0.781 0.497
```

- energy (eV/cell) = -58.42
- space-group type = No. 2

=====

Magnetic moment for every record listed, in sequence, given in μB/f.u.: 0.0 0.0 0.0 0.0 0.0 1.0.